# 1
K2Zn3IrF12: optimized geometry, PBE.

The space group is R-3m (No. 166, hexagonal axes) and the conventional cell measures 7.3182, 7.3182 and 19.2515 Å, with angles of 90.00, 90.00 and 120.00 degrees. The asymmetric unit holds K at (0.0000, 0.0000, 0.0949), Zn at (0.0000, 0.5000, 0.0000), Ir at (0.0000, 0.0000, 0.5000), F at (0.0619, 0.5309, 0.3573) and F at (0.0714, 0.5357, 0.1117).

=====

# 2
KZnIrF6: optimized geometry, PBE.

The space group is Imma (No. 74) and the conventional cell measures 7.301, 7.370 and 10.681 Å, with angles of 90.00, 90.00 and 90.00 degrees. The asymmetric unit holds K at (0.000, 0.250, 0.165), Zn at (0.000, 0.000, 0.500), Ir at (0.250, 0.250, 0.750), F at (0.000, 0.250, 0.433), F at (0.000, 0.250, 0.833) and F at (0.209, 0.039, 0.631).

=====

# 3
LaIr2F: optimized geometry, PBE.

The space group is Fm-3m (No. 225) and the conventional cell measures 6.601, 6.601 and 6.601 Å, with angles of 90.00, 90.00 and 90.00 degrees. The asymmetric unit holds La at (0.000, 0.000, 0.000), Ir at (0.250, 0.250, 0.250) and F at (0.000, 0.000, 0.500).

Its energy above the most stable polymorph in this dataset is 1220.1 meV/atom.

=====

| no. | E_form (uncorrected) (eV per atom) |
| --- | --- |
| 1 | -2.202 |
| 2 | -2.002 |
| 3 | 0.161 |